[1]
RbZn2Au: optimized geometry, PBE-GGA.

symmetry: Pmmn, No. 59
total energy: -15.04 eV per cell

Cell lengths 4.514, 7.699, 6.540 Å; angles 90.00, 90.00, 90.00 degrees
Atoms (fractional coordinates):
Rb  0.250  0.250  0.069
Rb  0.750  0.750  0.931
Zn  0.250  0.074  0.557
Zn  0.250  0.426  0.557
Zn  0.750  0.574  0.443
Zn  0.750  0.926  0.443
Au  0.250  0.750  0.426
Au  0.750  0.250  0.574

[2]
Zr2Sn: optimized geometry, PBE-GGA.

symmetry: Fd-3m, No. 227
total energy: -41.99 eV per cell
spin magnetization: 0.0 μB per cell

Cell lengths 5.828, 5.828, 5.828 Å; angles 60.00, 60.00, 60.00 degrees
Atoms (fractional coordinates):
Zr  0.000  0.000  0.000
Zr  0.000  0.000  0.500
Zr  0.000  0.500  0.000
Zr  0.500  0.000  0.000
Sn  0.375  0.375  0.375
Sn  0.625  0.625  0.625

[3]
SmDyCu4: optimized geometry, PBE-GGA.

symmetry: Imm2, No. 44
spin magnetization: 0.0 μB per cell
energy of formation from the pure elements: -0.2510 eV/atom

Cell lengths 5.495, 5.495, 5.495 Å; angles 134.09, 102.25, 95.29 degrees
Atoms (fractional coordinates):
Sm  0.000  0.000  0.000
Dy  0.422  0.922  0.500
Cu  0.422  0.623  0.798
Cu  0.588  0.294  0.295
Cu  0.825  0.623  0.202
Cu  0.999  0.294  0.705

[4]
Lu3BiAs2: optimized geometry, PBE-GGA.

symmetry: P-3m1, No. 164
total energy: -34.18 eV per cell
spin magnetization: 0.0 μB per cell

Cell lengths 4.104, 4.104, 10.360 Å; angles 90.00, 90.00, 120.00 degrees
Atoms (fractional coordinates):
Lu  0.000  0.000  0.000
Lu  0.333  0.667  0.692
Lu  0.667  0.333  0.308
Bi  0.000  0.000  0.500
As  0.333  0.667  0.157
As  0.667  0.333  0.843

[5]
MgAgSeO: optimized geometry, PBE-GGA.

symmetry: Cmcm, No. 63
offset from the most stable computed form: 72.6 meV/atom

Cell lengths 8.226, 8.226, 5.505 Å; angles 90.00, 90.00, 159.96 degrees
Atoms (fractional coordinates):
Mg  0.020  0.980  0.750
Mg  0.980  0.020  0.250
Ag  0.342  0.658  0.750
Ag  0.658  0.342  0.250
Se  0.310  0.690  0.250
Se  0.690  0.310  0.750
O  0.500  0.500  0.000
O  0.500  0.500  0.500

[6]
HfAlOs2: optimized geometry, PBE-GGA.

symmetry: F-43m, No. 216
total energy: -36.06 eV per cell
spin magnetization: 0.1 μB per cell

Cell lengths 4.484, 4.484, 4.484 Å; angles 60.00, 60.00, 60.00 degrees
Atoms (fractional coordinates):
Hf  0.000  0.000  0.000
Al  0.750  0.750  0.750
Os  0.250  0.250  0.250
Os  0.500  0.500  0.500

[7]
AlCuTeS: optimized geometry, PBE-GGA.

symmetry: Cc, No. 9
offset from the most stable computed form: 0.0 meV/atom

Cell lengths 5.697, 5.697, 6.864 Å; angles 113.83, 113.83, 89.99 degrees
Atoms (fractional coordinates):
Al  0.103  0.897  0.500
Al  0.897  0.103  0.000
Cu  0.308  0.603  0.001
Cu  0.603  0.308  0.501
Te  0.480  0.726  0.751
Te  0.726  0.480  0.251
S  0.228  0.981  0.250
S  0.981  0.228  0.750

[8]
AgIrSO: optimized geometry, PBE-GGA.

symmetry: P2_1/c, No. 14
spin magnetization: 0.0 μB per cell
offset from the most stable computed form: 0.0 meV/atom

Cell lengths 6.378, 6.636, 5.977 Å; angles 90.00, 91.58, 90.00 degrees
Atoms (fractional coordinates):
Ag  0.037  0.225  0.022
Ag  0.037  0.275  0.522
Ag  0.963  0.725  0.478
Ag  0.963  0.775  0.978
Ir  0.497  0.626  0.739
Ir  0.497  0.874  0.239
Ir  0.503  0.126  0.761
Ir  0.503  0.374  0.261
S  0.305  0.630  0.057
S  0.305  0.870  0.557
S  0.695  0.130  0.443
S  0.695  0.370  0.943
O  0.358  0.126  0.088
O  0.358  0.374  0.588
O  0.642  0.626  0.412
O  0.642  0.874  0.912

[9]
CdH6C4S4O2: optimized geometry, PBE-GGA.

symmetry: C2/c, No. 15
total energy: -176.84 eV per cell

Cell lengths 9.771, 9.771, 12.494 Å; angles 107.98, 107.98, 23.44 degrees
Atoms (fractional coordinates):
Cd  0.000  0.500  0.000
Cd  0.500  0.000  0.500
H  0.055  0.773  0.280
H  0.136  0.846  0.130
H  0.154  0.864  0.370
H  0.227  0.945  0.220
H  0.424  0.492  0.832
H  0.492  0.424  0.332
H  0.508  0.576  0.668
H  0.576  0.508  0.168
H  0.773  0.055  0.780
H  0.846  0.136  0.630
H  0.864  0.154  0.870
H  0.945  0.227  0.720
C  0.221  0.689  0.351
C  0.234  0.510  0.457
C  0.311  0.779  0.149
C  0.490  0.766  0.043
C  0.510  0.234  0.957
C  0.689  0.221  0.851
C  0.766  0.490  0.543
C  0.779  0.311  0.649
S  0.143  0.566  0.582
S  0.229  0.403  0.849
S  0.403  0.229  0.349
S  0.434  0.857  0.918
S  0.566  0.143  0.082
S  0.597  0.771  0.651
S  0.771  0.597  0.151
S  0.857  0.434  0.418
O  0.161  0.709  0.452
O  0.291  0.839  0.048
O  0.709  0.161  0.952
O  0.839  0.291  0.548

[10]
HfSbNO: optimized geometry, PBE-GGA.

symmetry: Pca2_1, No. 29
spin magnetization: 0.0 μB per cell
offset from the most stable computed form: 356.1 meV/atom

Cell lengths 5.645, 7.520, 5.396 Å; angles 90.00, 90.00, 90.00 degrees
Atoms (fractional coordinates):
Hf  0.013  0.140  0.000
Hf  0.487  0.140  0.500
Hf  0.513  0.860  0.000
Hf  0.987  0.860  0.500
Sb  0.041  0.349  0.515
Sb  0.459  0.349  0.015
Sb  0.541  0.651  0.515
Sb  0.959  0.651  0.015
N  0.114  0.610  0.538
N  0.386  0.610  0.038
N  0.614  0.390  0.538
N  0.886  0.390  0.038
O  0.249  0.978  0.251
O  0.251  0.978  0.751
O  0.749  0.022  0.251
O  0.751  0.022  0.751

[11]
LaNdP2Pt2O2: optimized geometry, PBE-GGA.

symmetry: P4mm, No. 99
total energy: -57.63 eV per cell
spin magnetization: 0.0 μB per cell

Cell lengths 4.176, 4.176, 8.085 Å; angles 90.00, 90.00, 90.00 degrees
Atoms (fractional coordinates):
La  0.000  0.000  0.000
Nd  0.500  0.500  0.283
P  0.000  0.000  0.488
P  0.500  0.500  0.788
Pt  0.000  0.500  0.637
Pt  0.500  0.000  0.637
O  0.000  0.500  0.143
O  0.500  0.000  0.143

[12]
LuAlFePt: optimized geometry, PBE-GGA.

symmetry: F-43m, No. 216
spin magnetization: 2.9 μB per cell
offset from the most stable computed form: 261.6 meV/atom

Cell lengths 4.601, 4.601, 4.601 Å; angles 60.00, 60.00, 60.00 degrees
Atoms (fractional coordinates):
Lu  0.000  0.000  0.000
Al  0.250  0.250  0.250
Fe  0.500  0.500  0.500
Pt  0.750  0.750  0.750

[13]
Ba2LiIrN6: optimized geometry, PBE-GGA.

symmetry: C2/m, No. 12
total energy: -57.69 eV per cell
spin magnetization: 0.6 μB per cell

Cell lengths 5.769, 5.769, 5.768 Å; angles 119.98, 119.98, 60.02 degrees
Atoms (fractional coordinates):
Ba  0.250  0.250  0.250
Ba  0.750  0.750  0.750
Li  0.000  0.000  0.500
Ir  0.500  0.500  0.000
N  0.258  0.739  0.758
N  0.259  0.259  0.762
N  0.261  0.742  0.242
N  0.739  0.258  0.758
N  0.741  0.741  0.238
N  0.742  0.261  0.242

[14]
LiHoIn2: optimized geometry, PBE-GGA.

symmetry: P4/mmm, No. 123
total energy: -13.52 eV per cell
spin magnetization: 0.0 μB per cell

Cell lengths 4.959, 4.959, 3.849 Å; angles 90.00, 90.00, 90.00 degrees
Atoms (fractional coordinates):
Li  0.000  0.000  0.000
Ho  0.500  0.500  0.000
In  0.000  0.500  0.500
In  0.500  0.000  0.500

[15]
KAcPr: optimized geometry, PBE-GGA.

symmetry: F-43m, No. 216
spin magnetization: 1.6 μB per cell
offset from the most stable computed form: 0.0 meV/atom

Cell lengths 6.134, 6.134, 6.134 Å; angles 60.00, 60.00, 60.00 degrees
Atoms (fractional coordinates):
K  0.000  0.000  0.000
Ac  0.500  0.500  0.500
Pr  0.750  0.750  0.750

[16]
ZrSi2Pt: optimized geometry, PBE-GGA.

symmetry: F-43m, No. 216
total energy: -26.31 eV per cell
spin magnetization: 0.0 μB per cell

Cell lengths 4.578, 4.578, 4.578 Å; angles 60.00, 60.00, 60.00 degrees
Atoms (fractional coordinates):
Zr  0.000  0.000  0.000
Si  0.500  0.500  0.500
Si  0.750  0.750  0.750
Pt  0.250  0.250  0.250

[17]
ZrBe: optimized geometry, PBE-GGA.

symmetry: Pmc2_1, No. 26
total energy: -73.67 eV per cell
spin magnetization: 0.2 μB per cell

Cell lengths 3.615, 10.118, 5.286 Å; angles 90.00, 90.00, 90.00 degrees
Atoms (fractional coordinates):
Zr  0.000  0.000  0.000
Zr  0.000  0.000  0.500
Zr  0.000  0.328  0.252
Zr  0.000  0.672  0.752
Zr  0.500  0.234  0.751
Zr  0.500  0.766  0.251
Be  0.000  0.418  0.752
Be  0.000  0.582  0.252
Be  0.500  0.140  0.250
Be  0.500  0.500  0.001
Be  0.500  0.500  0.501
Be  0.500  0.860  0.750

[18]
BiOsPt2: optimized geometry, PBE-GGA.

symmetry: F-43m, No. 216
total energy: -25.32 eV per cell
spin magnetization: 0.2 μB per cell

Cell lengths 4.643, 4.643, 4.643 Å; angles 60.00, 60.00, 60.00 degrees
Atoms (fractional coordinates):
Bi  0.000  0.000  0.000
Os  0.250  0.250  0.250
Pt  0.500  0.500  0.500
Pt  0.750  0.750  0.750

[19]
NbC2: optimized geometry, PBE-GGA.

symmetry: Fd-3m, No. 227
spin magnetization: 0.0 μB per cell
offset from the most stable computed form: 669.7 meV/atom

Cell lengths 4.379, 4.379, 4.379 Å; angles 60.00, 60.00, 60.00 degrees
Atoms (fractional coordinates):
Nb  0.125  0.125  0.125
Nb  0.875  0.875  0.875
C  0.000  0.500  0.500
C  0.500  0.000  0.500
C  0.500  0.500  0.000
C  0.500  0.500  0.500

[20]
DyEr2Tm2Lu2Ni2Te2: optimized geometry, PBE-GGA.

symmetry: Imm2, No. 44
spin magnetization: 0.0 μB per cell
offset from the most stable computed form: 5.6 meV/atom

Cell lengths 9.254, 9.254, 9.254 Å; angles 156.07, 67.16, 118.30 degrees
Atoms (fractional coordinates):
Dy  0.000  0.000  0.000
Er  0.083  0.729  0.353
Er  0.376  0.729  0.647
Tm  0.061  0.376  0.685
Tm  0.691  0.376  0.315
Lu  0.447  0.582  0.865
Lu  0.717  0.582  0.135
Ni  0.305  0.069  0.237
Ni  0.832  0.069  0.763
Te  0.339  0.339  0.000
Te  0.732  0.232  0.500

[21]
HfGaCoHg: optimized geometry, PBE-GGA.

symmetry: F-43m, No. 216
spin magnetization: 0.4 μB per cell
offset from the most stable computed form: 14.6 meV/atom

Cell lengths 4.572, 4.572, 4.572 Å; angles 60.00, 60.00, 60.00 degrees
Atoms (fractional coordinates):
Hf  0.000  0.000  0.000
Ga  0.500  0.500  0.500
Co  0.750  0.750  0.750
Hg  0.250  0.250  0.250

[22]
ScPIr: optimized geometry, PBE-GGA.

symmetry: P-62m, No. 189
total energy: -72.46 eV per cell
spin magnetization: 0.0 μB per cell

Cell lengths 6.360, 6.360, 3.934 Å; angles 90.00, 90.00, 120.00 degrees
Atoms (fractional coordinates):
Sc  0.000  0.580  0.000
Sc  0.420  0.420  0.000
Sc  0.580  0.000  0.000
P  0.000  0.000  0.000
P  0.333  0.667  0.500
P  0.667  0.333  0.500
Ir  0.000  0.250  0.500
Ir  0.250  0.000  0.500
Ir  0.750  0.750  0.500

[23]
CuCl2: optimized geometry, PBE-GGA.

symmetry: Fd-3m, No. 227
total energy: -16.89 eV per cell

Cell lengths 7.216, 7.216, 7.216 Å; angles 60.00, 60.00, 60.00 degrees
Atoms (fractional coordinates):
Cu  0.125  0.125  0.125
Cu  0.875  0.875  0.875
Cl  0.000  0.000  0.000
Cl  0.000  0.000  0.500
Cl  0.000  0.500  0.000
Cl  0.500  0.000  0.000